(1)
! HfTi3C, optimized geometry, DFT PBE; values from VASP
&SYSTEM
  ibrav = 0, nat = 20, ntyp = 3
/
ATOMIC_SPECIES
Hf 178.49 Hf.upf
Ti 47.87 Ti.upf
C 12.01 C.upf
CELL_PARAMETERS angstrom
-1.9332 2.0446 1.7247
1.8716 -3.9759 6.8112
8.6295 6.8077 1.6026
ATOMIC_POSITIONS crystal
Hf 0.7500 0.8208 0.9901
Hf 0.2500 0.6792 0.4901
Hf 0.7500 0.3208 0.5099
Hf 0.2500 0.1792 0.0099
Ti 0.2500 0.5444 0.0829
Ti 0.7500 0.4556 0.9171
Ti 0.2500 0.0444 0.4171
Ti 0.7500 0.9556 0.5829
Ti 0.2500 0.4216 0.7134
Ti 0.7500 0.0784 0.2134
Ti 0.2500 0.9216 0.7866
Ti 0.7500 0.6730 0.7282
Ti 0.2500 0.3270 0.2718
Ti 0.7500 0.1730 0.7718
Ti 0.7500 0.5784 0.2866
Ti 0.2500 0.8270 0.2282
C 0.2500 0.1493 0.6238
C 0.2500 0.6493 0.8762
C 0.7500 0.3507 0.1238
C 0.7500 0.8507 0.3762
! distance to the lowest polymorph of the same formula = 77 meV per atom
! density of states at the Fermi level = 1.534 states/eV/atom
! magnetic moment = 0.001 μB/f.u.
! E_form = -0.1619 eV/atom

(2)
! Dy2TmPt2, optimized geometry, DFT PBE; values from VASP
&SYSTEM
  ibrav = 0, nat = 10, ntyp = 3
/
ATOMIC_SPECIES
Dy 162.50 Dy.upf
Tm 168.93 Tm.upf
Pt 195.08 Pt.upf
CELL_PARAMETERS angstrom
4.0035 0.0000 0.0000
0.0000 7.6668 0.0000
0.0000 0.0000 7.6668
ATOMIC_POSITIONS crystal
Dy 0.5000 0.1613 0.6613
Dy 0.5000 0.6613 0.8387
Dy 0.5000 0.8387 0.3387
Dy 0.5000 0.3387 0.1613
Tm 0.0000 0.0000 0.0000
Tm 0.0000 0.5000 0.5000
Pt 0.0000 0.3593 0.8593
Pt 0.0000 0.8593 0.6407
Pt 0.0000 0.6407 0.1407
Pt 0.0000 0.1407 0.3593
! density of states at the Fermi level = 0.624 states/eV/atom
! magnetic moment = 0.000 μB/f.u.
! E_form = -1.0916 eV/atom

(3)
! SiHgBr2, optimized geometry, DFT PBE; values from VASP
&SYSTEM
  ibrav = 0, nat = 4, ntyp = 3
/
ATOMIC_SPECIES
Br 79.90 Br.upf
Hg 200.59 Hg.upf
Si 28.09 Si.upf
CELL_PARAMETERS angstrom
-4.8853 -3.3601 3.0993
2.3090 -2.4800 5.7689
-1.5534 5.4063 -3.6223
ATOMIC_POSITIONS crystal
Br 0.9245 0.9245 0.0000
Br 0.5755 0.5755 0.0000
Hg 0.2500 0.7500 0.5000
Si 0.7500 0.2500 0.5000
! distance to the lowest polymorph of the same formula = 222 meV per atom
! density of states at the Fermi level = 0.213 states/eV/atom
! magnetic moment = 0.000 μB/f.u.
! formation energy from raw total energies = -0.012 eV/atom

(4)
! MgZnCd2, optimized geometry, DFT PBE; values from VASP
&SYSTEM
  ibrav = 0, nat = 8, ntyp = 3
/
ATOMIC_SPECIES
Mg 24.30 Mg.upf
Zn 65.41 Zn.upf
Cd 112.41 Cd.upf
CELL_PARAMETERS angstrom
-1.1880 -1.2464 -2.7084
-1.4846 -3.8504 2.4235
-8.6242 5.4946 3.4650
ATOMIC_POSITIONS crystal
Mg 0.2781 0.2495 0.5874
Mg 0.7219 0.7505 0.4126
Zn 0.5419 0.2513 0.0768
Zn 0.4581 0.7487 0.9232
Cd 0.8315 0.7490 0.6865
Cd 0.1685 0.2510 0.3135
Cd 0.0821 0.7516 0.1481
Cd 0.9179 0.2484 0.8519
! distance to the lowest polymorph of the same formula = 8 meV per atom
! density of states at the Fermi level = 0.191 states/eV/atom
! magnetic moment = 0.000 μB/f.u.
! E_form = -0.0128 eV/atom